## AgTeCl (PBE)

Data for crystalline AgTeCl at its relaxed geometry.

Cell lengths 4.880, 4.880, 4.880 Å; angles 60.00, 60.00, 60.00 degrees
Last column: magnetic moment on the atom in μB.
Element x y z (fractional)
Te: 0.500 0.500 0.500  0.68
Ag: 0.250 0.250 0.250  0.19
Cl: 0.000 0.000 0.000  0.31

The calculation puts the energy above the most stable polymorph in this dataset at 0.478 eV/atom. Its space group is F-43m (216). The total moment comes out at 1.76 μB per cell. The mass density is 5.5 g/cm3. The calculated volume comes out at 27.4 Å³ per atom.

## Zn2HgPt (PBE)

Data for crystalline Zn2HgPt at its relaxed geometry.

Cell lengths 5.008, 5.008, 4.632 Å; angles 75.41, 75.41, 36.07 degrees
Element x y z (fractional)
Hg: 0.498 0.498 0.530
Pt: 0.263 0.263 0.198
Zn: 0.999 0.999 0.037
Zn: 0.741 0.741 0.735

The value obtained for the energy is -2.358 eV per atom. Its space group is Cm (8). The total moment comes out at 0.00 μB per cell. The mass density is 13.3 g/cm3. The calculated volume comes out at 16.5 Å³ per atom.

## SrGaGe2 (PBE)

Data for crystalline SrGaGe2 at its relaxed geometry.

Cell lengths 4.547, 4.547, 6.053 Å; angles 67.93, 67.93, 60.00 degrees
Element x y z (fractional)
Sr: 0.500 0.500 0.500
Ge: 0.290 0.290 0.129
Ge: 0.710 0.710 0.871
Ga: 0.000 0.000 0.000

The value obtained for the energy is -3.748 eV per atom. Its space group is R-3m (166). The total moment comes out at 0.00 μB per cell. The mass density is 5.1 g/cm3. The calculated volume comes out at 24.4 Å³ per atom.

## YTaAs2 (PBE)

Data for crystalline YTaAs2 at its relaxed geometry.

Cell lengths 6.141, 6.141, 7.444 Å; angles 65.64, 65.64, 90.00 degrees
Element x y z (fractional)
Y: 0.500 0.500 0.000
Y: 0.250 0.750 0.500
As: 0.666 0.125 0.250
As: 0.084 0.625 0.250
As: 0.375 0.334 0.750
As: 0.875 0.916 0.750
Ta: 0.000 0.000 0.000
Ta: 0.750 0.250 0.500

The calculation puts the energy above the most stable polymorph in this dataset at 0.564 eV/atom. Its space group is I-42d (122). The total moment comes out at 0.00 μB per cell. The mass density is 6.1 g/cm3. The calculated volume comes out at 28.5 Å³ per atom.

## CsTaAl (PBE)

Data for crystalline CsTaAl at its relaxed geometry.

Cell lengths 3.754, 5.025, 12.967 Å; angles 80.82, 87.19, 68.08 degrees
Element x y z (fractional)
Cs: 0.929 0.156 0.837
Cs: 0.511 0.782 0.460
Al: 0.799 0.273 0.257
Al: 0.383 0.153 0.114
Ta: 0.088 0.718 0.191
Ta: 0.672 0.594 0.059

The calculation puts the energy above the most stable polymorph in this dataset at 0.229 eV/atom. Its space group is P1 (1). The total moment comes out at 0.00 μB per cell. The mass density is 5.1 g/cm3. The calculated volume comes out at 37.3 Å³ per atom.

## La3Os5 (PBE)

Data for crystalline La3Os5 at its relaxed geometry.

Cell lengths 5.985, 5.985, 4.479 Å; angles 90.00, 90.00, 99.48 degrees
Element x y z (fractional)
La: 0.500 0.500 0.000
La: 0.735 0.265 0.500
La: 0.265 0.735 0.500
Os: 0.000 0.000 0.000
Os: 0.500 0.000 0.000
Os: 0.000 0.500 0.000
Os: 0.807 0.807 0.500
Os: 0.193 0.193 0.500

The calculation puts the energy above the most stable polymorph in this dataset at 0.189 eV/atom. Its space group is Cmmm (65). The total moment comes out at 0.00 μB per cell. The mass density is 14.4 g/cm3. The calculated volume comes out at 19.8 Å³ per atom.

## PrDyHoHg (PBE)

Data for crystalline PrDyHoHg at its relaxed geometry.

Cell lengths 3.660, 3.660, 8.872 Å; angles 90.00, 90.00, 90.00 degrees
Element x y z (fractional)
Pr: 0.000 0.000 0.072
Dy: 0.500 0.500 0.786
Ho: 0.500 0.500 0.357
Hg: 0.000 0.000 0.569

The calculation puts the energy above the most stable polymorph in this dataset at 0.000 eV/atom. Its space group is P4mm (99). The total moment comes out at 0.00 μB per cell. The mass density is 9.3 g/cm3. The calculated volume comes out at 29.7 Å³ per atom.

## Nd2Cu3Ni12Ir (PBE)

Data for crystalline Nd2Cu3Ni12Ir at its relaxed geometry.

Cell lengths 9.675, 9.675, 9.675 Å; angles 35.05, 35.05, 35.05 degrees
Element x y z (fractional)
Nd: 0.648 0.648 0.648
Nd: 0.352 0.352 0.352
Cu: 0.500 0.000 0.000
Cu: 0.000 0.500 0.000
Cu: 0.000 0.000 0.500
Ni: 0.418 0.418 0.813
Ni: 0.929 0.929 0.358
Ni: 0.358 0.929 0.929
Ni: 0.813 0.418 0.418
Ni: 0.929 0.358 0.929
Ni: 0.418 0.813 0.418
Ni: 0.582 0.582 0.187
Ni: 0.071 0.071 0.642
Ni: 0.642 0.071 0.071
Ni: 0.187 0.582 0.582
Ni: 0.071 0.642 0.071
Ni: 0.582 0.187 0.582
Ir: 0.000 0.000 0.000

The value obtained for the energy is -5.333 eV per atom. Its space group is R-3m (166). The total moment comes out at 0.06 μB per cell. The mass density is 8.6 g/cm3. The calculated volume comes out at 14.8 Å³ per atom.

## Be3Ru (PBE)

Data for crystalline Be3Ru at its relaxed geometry.

Cell lengths 3.696, 4.414, 4.553 Å; angles 90.00, 90.00, 90.00 degrees
Element x y z (fractional)
Be: 0.500 0.704 0.000
Be: 0.000 0.296 0.500
Be: 0.000 0.856 0.245
Be: 0.000 0.856 0.755
Be: 0.500 0.144 0.745
Be: 0.500 0.144 0.255
Ru: 0.000 0.376 0.000
Ru: 0.500 0.624 0.500

The value obtained for the energy is -5.509 eV per atom. Its space group is Pmmn (59). The total moment comes out at 0.00 μB per cell. The mass density is 5.7 g/cm3. The calculated volume comes out at 9.3 Å³ per atom.

## NaF (PBE)

Data for crystalline NaF at its relaxed geometry.

Cell lengths 3.940, 3.934, 4.647 Å; angles 90.00, 90.00, 120.22 degrees
Element x y z (fractional)
Na: 0.333 0.166 0.250
Na: 0.667 0.834 0.750
F: 0.666 0.834 0.250
F: 0.334 0.166 0.750

The calculation puts the energy above the most stable polymorph in this dataset at 0.032 eV/atom. Its space group is Cmcm (63). The total moment comes out at 0.10 μB per cell. The mass density is 2.2 g/cm3. The calculated volume comes out at 15.6 Å³ per atom.

## RbHfInAs2 (PBE)

Data for crystalline RbHfInAs2 at its relaxed geometry.

Cell lengths 5.574, 5.507, 5.574 Å; angles 90.00, 90.00, 90.00 degrees
Element x y z (fractional)
As: 0.000 0.000 0.500
As: 0.500 0.000 0.000
Hf: 0.000 0.500 0.000
Rb: 0.000 0.000 0.000
In: 0.500 0.500 0.500

The calculation puts the energy above the most stable polymorph in this dataset at 0.704 eV/atom. Its space group is P4/mmm (123). The total moment comes out at 0.00 μB per cell. The mass density is 5.1 g/cm3. The calculated volume comes out at 34.2 Å³ per atom.

## Pr2Sm2Y4Sc (PBE)

Data for crystalline Pr2Sm2Y4Sc at its relaxed geometry.

Cell lengths 3.619, 9.538, 9.605 Å; angles 115.01, 90.00, 100.94 degrees
Element x y z (fractional)
Pr: 0.338 0.675 0.001
Pr: 0.662 0.325 0.999
Sm: 0.853 0.706 0.337
Sm: 0.147 0.294 0.663
Y: 0.816 0.631 0.666
Y: 0.184 0.369 0.334
Y: 0.519 0.039 0.328
Y: 0.481 0.961 0.672
Sc: 0.000 0.000 0.000

The value obtained for the energy is -5.668 eV per atom. Its space group is C2/m (12). The total moment comes out at 0.00 μB per cell. The mass density is 5.6 g/cm3. The calculated volume comes out at 32.7 Å³ per atom.

## Ho2Sc3Cu2 (PBE)

Data for crystalline Ho2Sc3Cu2 at its relaxed geometry.

Cell lengths 4.637, 5.692, 7.332 Å; angles 113.23, 90.00, 114.04 degrees
Element x y z (fractional)
Ho: 0.866 0.731 0.213
Ho: 0.134 0.269 0.787
Sc: 0.500 0.000 0.000
Sc: 0.641 0.281 0.463
Sc: 0.359 0.719 0.537
Cu: 0.862 0.723 0.813
Cu: 0.138 0.277 0.187

The value obtained for the energy is -5.288 eV per atom. Its space group is C2/m (12). The total moment comes out at 0.00 μB per cell. The mass density is 6.2 g/cm3. The calculated volume comes out at 22.8 Å³ per atom.

## CrCu2Ag (PBE)

Data for crystalline CrCu2Ag at its relaxed geometry.

Cell lengths 2.625, 2.625, 7.800 Å; angles 90.00, 90.00, 89.84 degrees
Last column: magnetic moment on the atom in μB.
Element x y z (fractional)
Ag: 0.500 0.500 0.250  0.00
Cr: 0.500 0.500 0.750  0.30
Cu: 0.000 0.000 0.981  0.01
Cu: 0.000 0.000 0.519  0.01

The calculation puts the energy above the most stable polymorph in this dataset at 0.023 eV/atom. Its space group is Cmmm (65). The total moment comes out at 0.34 μB per cell. The mass density is 8.9 g/cm3. The calculated volume comes out at 13.4 Å³ per atom.

## KMg2In (PBE)

Data for crystalline KMg2In at its relaxed geometry.

Cell lengths 5.336, 5.336, 7.608 Å; angles 84.34, 84.34, 36.06 degrees
Element x y z (fractional)
In: 0.490 0.490 0.572
K: 0.245 0.245 0.259
Mg: 0.014 0.014 0.922
Mg: 0.751 0.751 0.747

The value obtained for the energy is -1.691 eV per atom. Its space group is Cm (8). The total moment comes out at 0.00 μB per cell. The mass density is 2.7 g/cm3. The calculated volume comes out at 31.7 Å³ per atom.

## NbTeHPd (PBE)

Data for crystalline NbTeHPd at its relaxed geometry.

Cell lengths 3.374, 3.374, 6.891 Å; angles 90.00, 90.00, 120.00 degrees
Element x y z (fractional)
Nb: 0.667 0.333 0.470
Te: 0.000 0.000 0.185
H: 0.000 0.000 0.559
Pd: 0.000 0.000 0.803

The calculation puts the energy above the most stable polymorph in this dataset at 0.150 eV/atom. Its space group is P3m1 (156). The total moment comes out at 0.00 μB per cell. The mass density is 8.0 g/cm3. The calculated volume comes out at 17.0 Å³ per atom.

## Tm4AlCu3 (PBE)

Data for crystalline Tm4AlCu3 at its relaxed geometry.

Cell lengths 3.596, 4.454, 10.680 Å; angles 90.00, 90.00, 90.00 degrees
Element x y z (fractional)
Tm: 0.500 0.500 0.365
Tm: 0.000 0.500 0.841
Tm: 0.000 0.000 0.156
Tm: 0.500 0.000 0.638
Al: 0.500 0.500 0.069
Cu: 0.000 0.500 0.571
Cu: 0.000 0.000 0.432
Cu: 0.500 0.000 0.928

The calculation puts the energy above the most stable polymorph in this dataset at 0.019 eV/atom. Its space group is Pmm2 (25). The total moment comes out at 0.00 μB per cell. The mass density is 8.7 g/cm3. The calculated volume comes out at 21.4 Å³ per atom.

## BaTe2Br (PBE)

Data for crystalline BaTe2Br at its relaxed geometry.

Cell lengths 5.848, 5.848, 5.848 Å; angles 60.00, 60.00, 60.00 degrees
Last column: magnetic moment on the atom in μB.
Element x y z (fractional)
Te: 0.250 0.250 0.250  0.20
Te: 0.750 0.750 0.750  0.20
Ba: 0.500 0.500 0.500  0.03
Br: 0.000 0.000 0.000  0.13

The calculation puts the energy above the most stable polymorph in this dataset at 0.738 eV/atom. Its space group is Fm-3m (225). The total moment comes out at 0.94 μB per cell. The mass density is 5.5 g/cm3. The calculated volume comes out at 35.4 Å³ per atom.

## PrNdDyHo2 (PBE)

Data for crystalline PrNdDyHo2 at its relaxed geometry.

Cell lengths 6.444, 6.453, 8.946 Å; angles 111.14, 90.00, 90.00 degrees
Element x y z (fractional)
Pr: 0.250 0.843 0.685
Pr: 0.750 0.157 0.315
Nd: 0.250 0.657 0.314
Nd: 0.750 0.343 0.686
Dy: 0.750 0.731 0.462
Dy: 0.250 0.269 0.538
Ho: 0.500 0.253 0.000
Ho: 0.000 0.747 0.000
Ho: 0.500 0.747 0.000
Ho: 0.000 0.253 0.000

The value obtained for the energy is -4.318 eV per atom. Its space group is Cmcm (63). The total moment comes out at 0.00 μB per cell. The mass density is 7.4 g/cm3. The calculated volume comes out at 34.7 Å³ per atom.

## Cd2Hg2P (PBE)

Data for crystalline Cd2Hg2P at its relaxed geometry.

Cell lengths 6.951, 6.951, 5.192 Å; angles 90.00, 90.00, 90.00 degrees
Element x y z (fractional)
P: 0.000 0.000 0.000
P: 0.500 0.500 0.000
Hg: 0.164 0.664 0.500
Hg: 0.664 0.836 0.500
Hg: 0.836 0.336 0.500
Hg: 0.336 0.164 0.500
Cd: 0.345 0.845 0.000
Cd: 0.845 0.655 0.000
Cd: 0.655 0.155 0.000
Cd: 0.155 0.345 0.000

The calculation puts the energy above the most stable polymorph in this dataset at 0.000 eV/atom. Its space group is P4/mbm (127). The total moment comes out at 0.00 μB per cell. The mass density is 8.7 g/cm3. The calculated volume comes out at 25.1 Å³ per atom.

## MnMo4Se8 (PBE)

Data for crystalline MnMo4Se8 at its relaxed geometry.

Cell lengths 6.647, 6.647, 8.067 Å; angles 90.00, 114.33, 120.00 degrees
Last column: magnetic moment on the atom in μB.
Element x y z (fractional)
Mn: 0.000 0.500 0.500  4.08
Mo: 0.000 0.000 0.000  0.74
Mo: 0.000 0.500 0.000  -0.17
Mo: 0.500 0.500 0.000  -0.17
Mo: 0.500 0.000 0.000  -0.17
Se: 0.494 0.747 0.241  -0.03
Se: 0.506 0.253 0.759  -0.03
Se: 0.497 0.249 0.245  0.01
Se: 0.004 0.252 0.755  0.01
Se: 0.503 0.751 0.755  0.01
Se: 0.004 0.751 0.755  0.01
Se: 0.996 0.249 0.245  0.01
Se: 0.996 0.748 0.245  0.01

The value obtained for the energy is -6.511 eV per atom. Its space group is R-3m (166). The total moment comes out at 4.64 μB per cell. The mass density is 6.5 g/cm3. The calculated volume comes out at 20.9 Å³ per atom.

## CaPtC2 (PBE)

Data for crystalline CaPtC2 at its relaxed geometry.

Cell lengths 5.115, 5.115, 6.225 Å; angles 65.74, 65.74, 90.00 degrees
Element x y z (fractional)
Ca: 0.500 0.500 0.000
Ca: 0.250 0.750 0.500
C: 0.714 0.125 0.250
C: 0.036 0.625 0.250
C: 0.375 0.286 0.750
C: 0.875 0.964 0.750
Pt: 0.000 0.000 0.000
Pt: 0.750 0.250 0.500

The value obtained for the energy is -5.854 eV per atom. Its space group is I-42d (122). The total moment comes out at 0.00 μB per cell. The mass density is 6.5 g/cm3. The calculated volume comes out at 16.6 Å³ per atom.

## K2NbPtBr (PBE)

Data for crystalline K2NbPtBr at its relaxed geometry.

Cell lengths 5.739, 4.998, 5.739 Å; angles 90.00, 90.00, 90.00 degrees
Last column: magnetic moment on the atom in μB.
Element x y z (fractional)
K: 0.000 0.000 0.500  0.00
K: 0.500 0.000 0.000  0.00
Nb: 0.000 0.500 0.000  0.48
Br: 0.000 0.000 0.000  0.01
Pt: 0.500 0.500 0.500  -0.07

The value obtained for the energy is -3.202 eV per atom. Its space group is P4/mmm (123). The total moment comes out at 0.62 μB per cell. The mass density is 4.5 g/cm3. The calculated volume comes out at 32.9 Å³ per atom.

## Dy2Er7Mg (PBE)

Data for crystalline Dy2Er7Mg at its relaxed geometry.

Cell lengths 5.284, 9.230, 9.230 Å; angles 124.33, 90.00, 90.00 degrees
Element x y z (fractional)
Dy: 0.500 0.705 0.295
Dy: 0.500 0.295 0.705
Er: 0.000 0.800 0.200
Er: 0.000 0.200 0.800
Er: 0.500 0.071 0.285
Er: 0.500 0.929 0.715
Er: 0.500 0.285 0.071
Er: 0.500 0.715 0.929
Er: 0.500 0.500 0.500
Mg: 0.000 0.000 0.000

The value obtained for the energy is -3.584 eV per atom. Its space group is Cmmm (65). The total moment comes out at 0.00 μB per cell. The mass density is 6.8 g/cm3. The calculated volume comes out at 37.2 Å³ per atom.

## CuMoIr (PBE)

Data for crystalline CuMoIr at its relaxed geometry.

Cell lengths 4.271, 4.271, 2.702 Å; angles 90.00, 90.00, 120.00 degrees
Element x y z (fractional)
Cu: 0.000 0.000 0.168
Ir: 0.667 0.333 0.166
Mo: 0.333 0.667 0.666

The calculation puts the energy above the most stable polymorph in this dataset at 0.097 eV/atom. Its space group is P3m1 (156). The total moment comes out at 0.00 μB per cell. The mass density is 13.7 g/cm3. The calculated volume comes out at 14.2 Å³ per atom.

## PrZn9Au2 (PBE)

Data for crystalline PrZn9Au2 at its relaxed geometry.

Cell lengths 3.191, 8.783, 8.783 Å; angles 120.00, 90.00, 90.00 degrees
Element x y z (fractional)
Pr: 0.000 0.000 0.000
Zn: 0.500 0.816 0.184
Zn: 0.000 0.000 0.500
Zn: 0.000 0.500 0.500
Zn: 0.500 0.816 0.632
Zn: 0.500 0.184 0.816
Zn: 0.500 0.632 0.816
Zn: 0.500 0.184 0.368
Zn: 0.000 0.500 0.000
Zn: 0.500 0.368 0.184
Au: 0.000 0.667 0.333
Au: 0.000 0.333 0.667

The calculation puts the energy above the most stable polymorph in this dataset at 0.133 eV/atom. Its space group is P6/mmm (191). The total moment comes out at 0.00 μB per cell. The mass density is 8.8 g/cm3. The calculated volume comes out at 17.8 Å³ per atom.